DFT (PBE-GGA) results for a geometry-optimized KRb2Br7 structure.

Output
Crystal system: tetragonal
SG: I4/mmm, No. 139
E_form (uncorrected), eV per atom: -0.82

Structure (POSCAR):
```
KRb2Br7
1.0
-7.625 1.488 -3.925
-2.745 -7.926 2.326
-7.248 -1.092 4.014
K Br Rb
1 7 2
Cartesian
-5.185 -3.219 -0.800 K
0.000 0.000 0.000 Br
-6.329 -2.039 1.870 Br
-11.288 -5.491 0.544 Br
-2.561 -1.590 -0.395 Br
-7.809 -4.848 -1.204 Br
-6.420 -0.836 -2.382 Br
-3.950 -5.601 0.783 Br
-10.029 -1.411 -0.356 Rb
-7.589 -6.118 2.770 Rb
```